Record 1
5
Lattice="5.054 0.000 0.000 0.000 5.054 0.000 0.000 0.000 5.530" Properties=species:S:1:pos:R:3 comment="HfTePCl2 PBE-GGA relaxed" dos_at_fermi_per_ev_cell=5.519 e_form_raw_ev_per_atom=0.81 e_above_lowest_polymorph_mev_per_atom=1271.3 sg="No. 123" rho_g_cm3=4.79 pbc="T T T"
Hf 0.000 0.000 0.000
Te 2.527 2.527 2.765
P 2.527 2.527 0.000
Cl 0.000 2.527 2.765
Cl 2.527 0.000 2.765


Record 2
5
Lattice="4.818 0.000 0.000 0.000 4.818 0.000 0.000 0.000 5.473" Properties=species:S:1:pos:R:3 comment="RbScCrNi2 PBE-GGA relaxed" dos_at_fermi_per_ev_cell=5.434 delta_e_f_ev_per_atom=1.109 sg="No. 123" rho_g_cm3=3.92 pbc="T T T"
Rb 0.000 0.000 0.000
Sc 2.409 2.409 2.737
Cr 2.409 2.409 0.000
Ni 0.000 2.409 2.737
Ni 2.409 0.000 2.737